No. 1
Here is an optimized crystal structure of Pm4ZnAu7 from the Alexandria database. Energies are from PBE.

Summary:
Crystal system ... monoclinic
SG ... C2/m (12)

Lattice parameters (Å, degrees): 4.980 8.632 7.781 68.25 71.34 73.23
Fractional coordinates of all 12 atoms:
Pm 0.563 0.250 0.624
Pm 0.437 0.750 0.376
Pm 0.729 0.742 0.799
Pm 0.271 0.258 0.201
Zn 0.000 0.000 0.000
Au 0.811 0.991 0.387
Au 0.189 0.009 0.613
Au 0.098 0.656 0.148
Au 0.902 0.344 0.852
Au 0.333 0.545 0.789
Au 0.500 0.000 0.000
Au 0.667 0.455 0.211

=====

No. 2
Here is an optimized crystal structure of Pm2Zn5Au5 from the Alexandria database. Energies are from PBE.

Summary:
Crystal system ... orthorhombic
SG ... Pmmm (47)

Lattice parameters (Å, degrees): 4.529 5.354 9.572 90.00 90.00 90.00
Fractional coordinates of all 12 atoms:
Pm 0.000 0.500 0.000
Pm 0.000 0.000 0.500
Zn 0.500 0.500 0.500
Zn 0.500 0.749 0.252
Zn 0.500 0.251 0.748
Zn 0.500 0.251 0.252
Zn 0.500 0.749 0.748
Au 0.000 0.500 0.334
Au 0.000 0.000 0.819
Au 0.000 0.000 0.181
Au 0.000 0.500 0.666
Au 0.500 0.000 0.000

=====

No. 3
Here is an optimized crystal structure of Pm7Zn2Au2 from the Alexandria database. Energies are from PBE.

Summary:
Crystal system ... orthorhombic
SG ... Cmmm (65)

Lattice parameters (Å, degrees): 6.676 7.800 6.676 89.98 110.80 90.02
Fractional coordinates of all 11 atoms:
Pm 0.000 0.285 0.500
Pm 0.500 0.715 0.000
Pm 0.000 0.715 0.500
Pm 0.500 0.285 0.000
Pm 0.000 0.000 0.000
Pm 0.500 0.740 0.500
Pm 0.500 0.260 0.500
Zn 0.710 0.000 0.290
Zn 0.290 0.000 0.710
Au 0.815 0.500 0.815
Au 0.185 0.500 0.185

=====

No. 4
Here is an optimized crystal structure of PmZnAu from the Alexandria database. Energies are from PBE.

Summary:
Crystal system ... tetragonal
SG ... I4mm (107)

Lattice parameters (Å, degrees): 3.655 3.655 5.569 109.16 109.16 90.00
Fractional coordinates of all 3 atoms:
Zn 0.302 0.302 0.603
Au 0.932 0.932 0.863
Pm 0.617 0.617 0.233

=====

No. 5
Here is an optimized crystal structure of PmZnAu2 from the Alexandria database. Energies are from PBE.

Summary:
Crystal system ... orthorhombic
SG ... Pnma (62)

Lattice parameters (Å, degrees): 5.669 7.435 7.849 90.00 90.00 90.00
Fractional coordinates of all 16 atoms:
Pm 0.358 0.250 0.044
Pm 0.858 0.750 0.456
Pm 0.642 0.750 0.956
Pm 0.142 0.250 0.544
Zn 0.635 0.250 0.388
Zn 0.135 0.750 0.112
Zn 0.365 0.750 0.612
Zn 0.865 0.250 0.888
Au 0.905 0.054 0.185
Au 0.405 0.946 0.315
Au 0.095 0.554 0.815
Au 0.595 0.446 0.685
Au 0.095 0.946 0.815
Au 0.595 0.054 0.685
Au 0.905 0.446 0.185
Au 0.405 0.554 0.315

=====

No. 6
Here is an optimized crystal structure of Pm4Zn3Au from the Alexandria database. Energies are from PBE.

Summary:
Crystal system ... orthorhombic
SG ... Pmm2 (25)

Lattice parameters (Å, degrees): 3.732 4.598 11.751 90.00 90.00 90.00
Fractional coordinates of all 8 atoms:
Pm 0.500 0.500 0.351
Pm 0.000 0.500 0.851
Pm 0.000 0.000 0.148
Pm 0.500 0.000 0.652
Zn 0.000 0.500 0.567
Zn 0.000 0.000 0.432
Zn 0.500 0.000 0.928
Au 0.500 0.500 0.071

=====

No. 7
Here is an optimized crystal structure of Pm3Zn4Au from the Alexandria database. Energies are from PBE.

Summary:
Crystal system ... orthorhombic
SG ... Immm (71)

Lattice parameters (Å, degrees): 3.841 5.619 9.664 106.90 101.46 90.00
Fractional coordinates of all 8 atoms:
Pm 0.225 0.225 0.450
Pm 0.775 0.775 0.550
Pm 0.000 0.500 0.000
Zn 0.380 0.614 0.760
Zn 0.620 0.386 0.240
Zn 0.620 0.854 0.240
Zn 0.380 0.146 0.760
Au 0.500 0.000 0.000

=====

No. 8
Here is an optimized crystal structure of Pm4ZnAu5 from the Alexandria database. Energies are from PBE.

Summary:
Crystal system ... tetragonal
SG ... P4/mmm (123)

Lattice parameters (Å, degrees): 3.640 3.640 17.779 90.00 90.00 90.00
Fractional coordinates of all 10 atoms:
Pm 0.000 0.000 0.181
Pm 0.000 0.000 0.394
Pm 0.000 0.000 0.606
Pm 0.000 0.000 0.819
Zn 0.000 0.000 0.000
Au 0.500 0.500 0.082
Au 0.500 0.500 0.290
Au 0.500 0.500 0.500
Au 0.500 0.500 0.710
Au 0.500 0.500 0.918

=====

No. 9
Here is an optimized crystal structure of Pm4Zn3Au5 from the Alexandria database. Energies are from PBE.

Summary:
Crystal system ... monoclinic
SG ... C2/m (12)

Lattice parameters (Å, degrees): 4.799 8.646 8.492 64.26 73.59 73.89
Fractional coordinates of all 12 atoms:
Pm 0.914 0.293 0.879
Pm 0.347 0.852 0.453
Pm 0.653 0.148 0.547
Pm 0.086 0.707 0.121
Zn 0.275 0.263 0.186
Zn 0.000 0.500 0.500
Zn 0.725 0.737 0.814
Au 0.305 0.543 0.847
Au 0.500 0.500 0.500
Au 0.137 0.970 0.757
Au 0.863 0.030 0.243
Au 0.695 0.457 0.153

=====

No. 10
Here is an optimized crystal structure of Pm2ZnAu8 from the Alexandria database. Energies are from PBE.

Summary:
Crystal system ... triclinic
SG ... P-1 (2)

Lattice parameters (Å, degrees): 5.157 6.986 7.863 118.94 112.69 81.97
Fractional coordinates of all 11 atoms:
Pm 0.208 0.705 0.419
Pm 0.792 0.295 0.581
Zn 0.500 0.000 0.000
Au 0.657 0.414 0.231
Au 0.419 0.176 0.759
Au 0.169 0.168 0.332
Au 0.954 0.723 0.003
Au 0.831 0.832 0.668
Au 0.581 0.824 0.241
Au 0.343 0.586 0.769
Au 0.046 0.277 0.997

=====

No. 11
Here is an optimized crystal structure of Pm3Zn6Au5 from the Alexandria database. Energies are from PBE.

Summary:
Crystal system ... orthorhombic
SG ... Immm (71)

Lattice parameters (Å, degrees): 4.441 8.404 8.404 69.28 74.68 74.68
Fractional coordinates of all 14 atoms:
Pm 0.000 0.000 0.000
Pm 0.709 0.291 0.291
Pm 0.291 0.709 0.709
Zn 0.500 0.673 0.327
Zn 0.500 0.327 0.673
Zn 0.863 0.427 0.846
Zn 0.137 0.573 0.154
Zn 0.863 0.846 0.427
Zn 0.137 0.154 0.573
Au 0.655 0.698 0.992
Au 0.345 0.302 0.008
Au 0.655 0.992 0.698
Au 0.345 0.008 0.302
Au 0.000 0.500 0.500

=====

| no. | energy of formation (eV per atom) |
| --- | --- |
| 1 | -0.649 |
| 2 | -0.497 |
| 3 | -0.144 |
| 4 | -0.495 |
| 5 | -0.638 |
| 6 | -0.399 |
| 7 | -0.213 |
| 8 | -0.673 |
| 9 | -0.450 |
| 10 | -0.496 |
| 11 | -0.560 |